(1)
Crystalline Sr6IrCl at its relaxed geometry, computed with PBE.

It has space group P-1 (No. 2), with a = 7.5332 Å, b = 7.5373 Å, c = 8.3498 Å, α = 89.96°, β = 63.20° and γ = 60.03°. Symmetry generates all atoms from Sr at (0.0267, 0.3976, 0.2367), Sr at (0.3377, 0.7627, 0.2364), Sr at (0.3389, 0.9253, 0.7623), Ir at (0.5000, 0.0000, 0.0000) and Cl at (0.5000, 0.5000, 0.5000).

The calculation puts the total energy at -3.158 eV per atom.

(2)
Crystalline Sr2IrCl at its relaxed geometry, computed with PBE.

It has space group I-42d (No. 122), with a = 6.6246 Å, b = 6.6246 Å, c = 13.7433 Å, α = 90.00°, β = 90.00° and γ = 90.00°. Symmetry generates all atoms from Sr at (0.2231, 0.2500, 0.1250), Ir at (0.0000, 0.0000, 0.0000) and Cl at (0.0000, 0.0000, 0.5000).

The calculation puts the total energy at -4.155 eV per atom.

(3)
Crystalline SrIrCl2 at its relaxed geometry, computed with PBE.

It has space group C2/m (No. 12), with a = 13.0039 Å, b = 4.1666 Å, c = 4.7343 Å, α = 90.00°, β = 92.52° and γ = 90.00°. Symmetry generates all atoms from Sr at (0.0000, 0.0000, 0.0000), Ir at (0.0000, 0.5000, 0.5000) and Cl at (0.1481, 0.5000, 0.7745).

The calculation puts the total energy at -4.339 eV per atom.